A plane-wave DFT calculation with PBE was carried out for an optimized crystal structure of ScHgSF2.

The density of states at the Fermi level comes out at 0.2 states/eV/cell. The symmetry is P4/mmm. The energy is -5.2066 eV/atom.

Unit cell a=4.1141 b=4.1141 c=5.2434 alpha=90.00 beta=90.00 gamma=90.00
Sites, in units of the cell vectors:
Sc (0.0000, 0.0000, 0.0000)
S (0.0000, 0.0000, 0.5000)
Hg (0.5000, 0.5000, 0.5000)
F (0.0000, 0.5000, 0.0000)
F (0.5000, 0.0000, 0.0000)